(1)
{"formula": "ThInSnPb", "functional": "PBE", "state": "relaxed", "cell": [[4.639, 0.000, 0.000], [0.000, 4.849, 0.000], [0.000, 0.000, 4.931]], "species": ["Th", "In", "Sn", "Pb"], "frac_coords": [[0.000, 0.000, 0.000], [0.000, 0.500, 0.500], [0.500, 0.500, 0.000], [0.500, 0.000, 0.500]], "dft_energy_ev_per_atom": -4.81}

---

(2)
{"formula": "TbPr2ScO6", "functional": "PBE", "state": "relaxed", "cell": [[5.755, 0.000, 0.000], [0.000, 5.998, 0.000], [-5.689, 0.000, 8.369]], "species": ["Tb", "Tb", "Pr", "Pr", "Pr", "Pr", "Sc", "Sc", "O", "O", "O", "O", "O", "O", "O", "O", "O", "O", "O", "O"], "frac_coords": [[0.000, 0.000, 0.000], [0.000, 0.500, 0.500], [0.268, 0.055, 0.749], [0.268, 0.445, 0.249], [0.732, 0.555, 0.751], [0.732, 0.945, 0.251], [0.500, 0.000, 0.500], [0.500, 0.500, 0.000], [0.134, 0.054, 0.259], [0.134, 0.446, 0.759], [0.270, 0.690, 0.064], [0.270, 0.810, 0.564], [0.382, 0.205, 0.069], [0.382, 0.295, 0.569], [0.618, 0.705, 0.431], [0.618, 0.795, 0.931], [0.730, 0.190, 0.436], [0.730, 0.310, 0.936], [0.866, 0.554, 0.241], [0.866, 0.946, 0.741]], "e_form_raw_mev_per_atom": -3412.4, "dft_energy_ev_per_atom": -8.44}

---

(3)
{"formula": "Er3PPb", "functional": "PBE", "state": "relaxed", "cell": [[5.198, 0.000, 0.000], [0.000, 5.198, 0.000], [0.000, 0.000, 5.198]], "species": ["Er", "Er", "Er", "P", "Pb"], "frac_coords": [[0.000, 0.000, 0.500], [0.000, 0.500, 0.000], [0.500, 0.000, 0.000], [0.000, 0.000, 0.000], [0.500, 0.500, 0.500]], "dft_energy_ev_per_atom": -5.27}

---

(4)
{"formula": "HfAlPd3", "functional": "PBE", "state": "relaxed", "cell": [[4.885, 0.000, 0.000], [0.000, 4.885, 0.000], [0.000, 0.000, 4.885]], "species": ["Hf", "Al", "Pd", "Pd", "Pd"], "frac_coords": [[0.000, 0.000, 0.000], [0.500, 0.500, 0.500], [0.000, 0.000, 0.500], [0.000, 0.500, 0.000], [0.500, 0.000, 0.000]], "dft_energy_ev_per_atom": -5.26}

---

Q: Number 3 is which compound?
A: Er3PPb

---

Q: Number 4 is which compound?
A: HfAlPd3